A geometry-optimized Pr2DyHoP4 structure. Source: Alexandria via LeMat-Bulk, functional PBE.

a = 7.0997 Å, b = 4.1040 Å, c = 7.1045 Å
α = 90.00°, β = 109.47°, γ = 90.00°
With the nearest neighbours (Å) after each atom.
Space group P2/m (No. 10)
Asymmetric unit:
Pr1 0.0000 0.0000 0.0000  6 P 2.95
Pr2 0.0000 0.5000 0.5000  6 P 2.95
Dy1 0.5000 0.0000 0.5000  6 P 2.85-2.86
Ho1 0.5000 0.5000 0.0000  6 P 2.85
P1 0.2622 0.5000 0.2535  1 Ho 2.85, 2 Dy 2.86, 3 Pr 2.95
P2 0.2625 0.0000 0.7547  2 Ho 2.85, 1 Dy 2.85, 3 Pr 2.95

Properties
ΔH_f (0 K), eV per formula unit: -12.43

***

A geometry-optimized U3Ni4As4 structure. Source: Alexandria via LeMat-Bulk, functional PBE.

a = 3.8985 Å, b = 4.2739 Å, c = 23.1561 Å
α = 90.00°, β = 90.00°, γ = 90.00°
With the nearest neighbours (Å) after each atom.
Space group Immm (No. 71)
Asymmetric unit:
U1 0.0000 0.0000 0.0000  4 As 3.01, 8 Ni 3.13
U2 0.0000 0.5000 0.1444  6 Ni 2.90-3.16, 6 As 3.02-3.08
Ni1 0.0000 0.0000 0.4486  1 Ni 2.38, 2 As 2.40
Ni2 0.0000 0.5000 0.3005  5 As 2.32-2.37
As1 0.0000 0.0000 0.2560  4 Ni 2.35-2.37
As2 0.0000 0.5000 0.4009  3 Ni 2.32-2.40

Properties
ΔH_f (0 K), eV per formula unit: -4.88

***

A geometry-optimized CrTe2I structure. Source: Alexandria via LeMat-Bulk, functional PBE.

a = 10.4426 Å, b = 9.8699 Å, c = 7.2626 Å
α = 90.00°, β = 133.97°, γ = 90.00°
With the nearest neighbours (Å) after each atom.
Space group Cc (No. 9)
Asymmetric unit:
Cr1 0.0000 0.0827 0.0000  4 Te 2.72-2.86, 2 I 2.77-2.84
Te1 0.2503 0.4842 0.5053  2 Cr 2.72-2.76, 1 Te 2.78
Te2 0.3018 0.2142 0.4609  2 Cr 2.75-2.86, 1 Te 2.78
I1 0.1756 0.1337 0.8359  2 Cr 2.77-2.84

Properties
Energy relative to the lowest polymorph listed for this composition, meV per atom: 142.1
ΔE_f (raw), eV per formula unit: -0.3

***

A geometry-optimized BWSe3 structure. Source: Alexandria via LeMat-Bulk, functional PBE.

a = 4.3733 Å, b = 4.3733 Å, c = 4.3733 Å
α = 90.00°, β = 90.00°, γ = 90.00°
With the nearest neighbours (Å) after each atom.
Space group Pm-3m (No. 221)
Asymmetric unit:
B1 0.0000 0.0000 0.0000  6 Se 2.19
W1 0.5000 0.5000 0.5000  12 Se 3.09
Se1 0.0000 0.0000 0.5000  2 B 2.19

Properties
Energy relative to the lowest polymorph listed for this composition, meV per atom: 0.0
ΔE_f (raw), eV per formula unit: 5.6

***

A geometry-optimized La4Tb3NdSe8 structure. Source: Alexandria via LeMat-Bulk, functional PBE.

a = 8.4249 Å, b = 8.4249 Å, c = 20.7730 Å
α = 90.00°, β = 90.00°, γ = 120.00°
With the nearest neighbours (Å) after each atom.
Space group R-3m (No. 166, hexagonal axes)
Asymmetric unit:
La1 0.0000 0.0000 0.0000  6 Se 3.01
La2 0.0000 0.5000 0.0000  6 Se 3.06
Tb1 0.0000 0.5000 0.5000  6 Se 2.92
Nd1 0.0000 0.0000 0.5000  6 Se 2.97
Se1 0.0000 0.0000 0.2442  3 Tb 2.92, 3 La 3.06
Se2 0.0059 0.5029 0.7544  2 Tb 2.92, 1 Nd 2.97, 3 La 3.01-3.06

Properties
ΔE_f (raw), eV per formula unit: -30.3

***

A geometry-optimized KBe4Tl structure. Source: Alexandria via LeMat-Bulk, functional PBE.

a = 7.3009 Å, b = 7.3009 Å, c = 7.3009 Å
α = 90.00°, β = 90.00°, γ = 90.00°
With the nearest neighbours (Å) after each atom.
Space group F-43m (No. 216)
Asymmetric unit:
K1 0.0000 0.0000 0.0000  12 Be 3.05, 4 Tl 3.16
Be1 0.1144 0.1144 0.3856  3 Be 2.36
Tl1 0.2500 0.2500 0.7500  12 Be 3.01, 4 K 3.16

Properties
ΔH_f (0 K), eV per formula unit: 4.90

***

A geometry-optimized GeSbTe4Pb2 structure. Source: Alexandria via LeMat-Bulk, functional PBE.

a = 7.6556 Å, b = 4.3129 Å, c = 8.1473 Å
α = 90.00°, β = 107.18°, γ = 90.00°
With the nearest neighbours (Å) after each atom.
Space group P2/m (No. 10)
Asymmetric unit:
Ge1 0.0000 0.0000 0.0000  6 Te 3.06
Sb1 0.5000 0.5000 0.0000  6 Te 3.10-3.12
Te1 0.2368 0.5000 0.2258  2 Ge 3.06, 1 Sb 3.10, 3 Pb 3.27-3.32
Te2 0.2499 0.0000 0.7681  1 Ge 3.06, 2 Sb 3.12, 3 Pb 3.26-3.30
Pb1 0.0000 0.5000 0.5000  6 Te 3.26-3.27
Pb2 0.5000 0.0000 0.5000  6 Te 3.30-3.32

Properties
ΔE_f (raw), eV per formula unit: -1.3

***

A geometry-optimized Sm2Ga4GeAu3 structure. Source: Alexandria via LeMat-Bulk, functional PBE.

a = 4.3706 Å, b = 4.3706 Å, c = 10.7482 Å
α = 90.00°, β = 90.00°, γ = 90.00°
With the nearest neighbours (Å) after each atom.
Space group P-4m2 (No. 115)
Asymmetric unit:
Sm1 0.0000 0.5000 0.2481  8 Ga 3.32-3.48, 6 Au 3.34-3.45, 2 Ge 3.45
Ga1 0.0000 0.0000 0.5000  4 Au 2.61
Ga2 0.0000 0.5000 0.8645  3 Au 2.48-2.63, 2 Ge 2.63
Ga3 0.5000 0.5000 0.5000  4 Au 2.61
Ge1 0.5000 0.5000 0.0000  4 Ga 2.63
Au1 0.0000 0.0000 0.0000  4 Ga 2.63
Au2 0.0000 0.5000 0.6336  5 Ga 2.48-2.61

Properties
ΔH_f (0 K), eV per formula unit: -5.85

***

A geometry-optimized SrV3I structure. Source: Alexandria via LeMat-Bulk, functional PBE.

a = 5.0151 Å, b = 5.0151 Å, c = 5.0151 Å
α = 90.00°, β = 90.00°, γ = 90.00°
With the nearest neighbours (Å) after each atom.
Space group Pm-3m (No. 221)
Asymmetric unit:
Sr1 0.0000 0.0000 0.0000  12 V 3.55
V1 0.0000 0.5000 0.5000  2 I 2.51
I1 0.5000 0.5000 0.5000  6 V 2.51

Properties
Energy relative to the lowest polymorph listed for this composition, meV per atom: 0.0
ΔE_f (raw), eV per formula unit: 6.4

***

A geometry-optimized RbInSn2Mo structure. Source: Alexandria via LeMat-Bulk, functional PBE.

a = 5.3166 Å, b = 5.3166 Å, c = 5.4415 Å
α = 90.00°, β = 90.00°, γ = 90.00°
With the nearest neighbours (Å) after each atom.
Space group P4/mmm (No. 123)
Asymmetric unit:
Rb1 0.0000 0.0000 0.0000  4 In 3.76, 8 Sn 3.80
In1 0.5000 0.5000 0.0000  2 Mo 2.72
Sn1 0.0000 0.5000 0.5000  2 Mo 2.66
Mo1 0.5000 0.5000 0.5000  4 Sn 2.66, 2 In 2.72

Properties
ΔH_f (0 K), eV per formula unit: 0.14

***

A geometry-optimized AcNiHg2 structure. Source: Alexandria via LeMat-Bulk, functional PBE.

a = 4.2788 Å, b = 8.4044 Å, c = 5.6794 Å
α = 90.00°, β = 112.08°, γ = 90.00°
With the nearest neighbours (Å) after each atom.
Space group P2_1/m (No. 11)
Asymmetric unit:
Ac1 0.0641 0.2500 0.1277  3 Ni 3.02-3.10
Ni1 0.2217 0.7500 0.4462  6 Hg 2.81-2.89, 3 Ac 3.02-3.10
Hg1 0.3519 0.0531 0.7035  3 Ni 2.81-2.89

Properties
ΔH_f (0 K), eV per formula unit: -1.34

***

A geometry-optimized Np3P4Pt2 structure. Source: Alexandria via LeMat-Bulk, functional PBE.

a = 12.5067 Å, b = 3.8841 Å, c = 8.3040 Å
α = 90.00°, β = 123.27°, γ = 90.00°
With the nearest neighbours (Å) after each atom.
Space group C2/m (No. 12)
Asymmetric unit:
Np1 0.0000 0.0000 0.0000  6 P 2.76-2.82
Np2 0.1339 0.5000 0.7168  7 P 2.76-3.09
P1 0.0641 0.0000 0.3834  2 Pt 2.37
P2 0.1813 0.5000 0.0878  1 Pt 2.41
Pt1 0.1656 0.5000 0.3644  3 P 2.37-2.41

Properties
ΔH_f (0 K), eV per formula unit: -6.87

***

A geometry-optimized Pr4AlI2Br structure. Source: Alexandria via LeMat-Bulk, functional PBE.

a = 7.3999 Å, b = 4.4884 Å, c = 8.2462 Å
α = 90.00°, β = 109.23°, γ = 90.00°
With the nearest neighbours (Å) after each atom.
Space group P2/m (No. 10)
Asymmetric unit:
Pr1 0.2295 0.0000 0.2078  2 Al 2.99, 1 Br 3.03
Pr2 0.2580 0.5000 0.7954  1 Al 2.93, 2 Br 3.02
Al1 0.0000 0.5000 0.0000  6 Pr 2.93-2.99
I1 0.0000 0.0000 0.5000  6 Pr 3.37-3.40
I2 0.5000 0.5000 0.5000  6 Pr 3.42-3.47
Br1 0.5000 0.0000 0.0000  6 Pr 3.02-3.03

Properties
ΔE_f (raw), eV per formula unit: -6.5

***

A geometry-optimized La3IrPb structure. Source: Alexandria via LeMat-Bulk, functional PBE.

a = 8.9289 Å, b = 8.9289 Å, c = 13.2625 Å
α = 90.00°, β = 90.00°, γ = 120.00°
With the nearest neighbours (Å) after each atom.
Space group R-3c (No. 167, hexagonal axes)
Asymmetric unit:
La1 0.0000 0.3087 0.2500  1 Ir 2.76
Ir1 0.0000 0.0000 0.2500  3 La 2.76
Pb1 0.0000 0.0000 0.0000  6 La 3.28, 2 Ir 3.32

Properties
Energy relative to the lowest polymorph listed for this composition, meV per atom: 346.9
ΔH_f (0 K), eV per formula unit: -1.70

***

A geometry-optimized RbHfTaGe2 structure. Source: Alexandria via LeMat-Bulk, functional PBE.

a = 5.0922 Å, b = 5.0922 Å, c = 5.0034 Å
α = 90.00°, β = 90.00°, γ = 90.00°
With the nearest neighbours (Å) after each atom.
Space group P4/mmm (No. 123)
Asymmetric unit:
Rb1 0.0000 0.0000 0.0000  2 Hf 2.50, 4 Ge 2.55
Hf1 0.0000 0.0000 0.5000  2 Rb 2.50
Ta1 0.5000 0.5000 0.5000  8 Ge 3.57, 4 Hf 3.60
Ge1 0.0000 0.5000 0.0000  2 Rb 2.55

Properties
ΔH_f (0 K), eV per formula unit: 13.10

***

A geometry-optimized Nd6ZnRu structure. Source: Alexandria via LeMat-Bulk, functional PBE.

a = 6.8867 Å, b = 6.8929 Å, c = 7.7021 Å
α = 63.47°, β = 63.49°, γ = 60.03°
With the nearest neighbours (Å) after each atom.
Space group P-1 (No. 2)
Asymmetric unit:
Nd1 0.0576 0.4195 0.2498  1 Ru 2.78, 1 Zn 2.96
Nd2 0.2274 0.9425 0.7503  1 Ru 2.78, 1 Zn 2.96
Nd3 0.4195 0.7731 0.2496  1 Ru 2.78, 1 Zn 2.96
Zn1 0.5000 0.5000 0.0000  6 Nd 2.96
Ru1 0.0000 0.0000 0.5000  6 Nd 2.78

Properties
ΔH_f (0 K), eV per formula unit: 0.06

***

A geometry-optimized CaBe2Ru structure. Source: Alexandria via LeMat-Bulk, functional PBE.

a = 3.1831 Å, b = 3.4149 Å, c = 5.8753 Å
α = 90.00°, β = 105.66°, γ = 90.00°
With the nearest neighbours (Å) after each atom.
Space group Pm (No. 6)
Asymmetric unit:
Ca1 0.0000 0.0000 0.0000  5 Be 2.71-2.92
Be1 0.2427 0.0000 0.4795  2 Be 2.09
Be2 0.3459 0.5000 0.6914  2 Be 2.09, 2 Ru 2.24
Ru1 0.7087 0.5000 0.4133  6 Be 2.24-2.37

Properties
Energy relative to the lowest polymorph listed for this composition, meV per atom: 170.2
ΔH_f (0 K), eV per formula unit: 0.15

***

A geometry-optimized Ac2GdPt structure. Source: Alexandria via LeMat-Bulk, functional PBE.

a = 4.1094 Å, b = 4.1094 Å, c = 33.1965 Å
α = 90.00°, β = 90.00°, γ = 120.00°
With the nearest neighbours (Å) after each atom.
Space group R-3m (No. 166, hexagonal axes)
Asymmetric unit:
Ac1 0.0000 0.0000 0.1116  3 Pt 3.00
Gd1 0.0000 0.0000 0.0000  2 Ac 3.70, 6 Gd 4.11
Pt1 0.0000 0.0000 0.5000  6 Ac 3.00

Properties
Energy relative to the lowest polymorph listed for this composition, meV per atom: 183.6
ΔH_f (0 K), eV per formula unit: -1.11

***

A geometry-optimized PrYGe2 structure. Source: Alexandria via LeMat-Bulk, functional PBE.

a = 4.3141 Å, b = 4.3141 Å, c = 20.1241 Å
α = 90.00°, β = 90.00°, γ = 120.00°
With the nearest neighbours (Å) after each atom.
Space group R-3m (No. 166, hexagonal axes)
Asymmetric unit:
Pr1 0.0000 0.0000 0.0000  6 Ge 3.05
Y1 0.0000 0.0000 0.5000  6 Ge 2.96
Ge1 0.0000 0.0000 0.2460  3 Y 2.96, 3 Pr 3.05

Properties
ΔH_f (0 K), eV per formula unit: -2.63

***

A geometry-optimized TiCr2Bi structure. Source: Alexandria via LeMat-Bulk, functional PBE.

a = 3.9786 Å, b = 3.9786 Å, c = 18.3689 Å
α = 90.00°, β = 90.00°, γ = 90.00°
With the nearest neighbours (Å) after each atom.
Space group I-42d (No. 122)
Asymmetric unit:
Ti1 0.0000 0.0000 0.0000  4 Cr 2.58, 4 Bi 2.81
Cr1 0.1603 0.2500 0.1250  2 Cr 2.36, 2 Ti 2.58
Bi1 0.0000 0.0000 0.5000  4 Ti 2.81, 4 Cr 2.84

Properties
Energy relative to the lowest polymorph listed for this composition, meV per atom: 481.1
ΔH_f (0 K), eV per formula unit: 3.24